Density functional theory data (PBE-GGA) for crystalline NaAlHgB2 at its relaxed geometry.

Unit cell a=4.3538 b=5.3526 c=4.3538 alpha=90.00 beta=90.00 gamma=90.00
Atoms (fractional coordinates):
Hg 0.0000 0.0000 0.0000
Al 0.5000 0.5000 0.5000
B 0.0000 0.0000 0.5000
B 0.5000 0.0000 0.0000
Na 0.0000 0.5000 0.0000

Calculated values
* V: 101.5 Å³/cell
* M_tot: 0.000 μB per atom
* space group: No. 123
* VASP energy: -2.202 eV/atom

=====

Density functional theory data (PBE-GGA) for crystalline Pa3P4Rh4 at its relaxed geometry.

Unit cell a=4.0240 b=7.0010 c=7.6908 alpha=117.07 beta=105.17 gamma=90.00
Atoms (fractional coordinates):
P 0.5000 0.2226 0.0000
P 0.2177 0.7177 0.4355
P 0.7823 0.2823 0.5645
P 0.5000 0.7774 0.0000
Pa 0.8910 0.8910 0.7819
Pa 0.1090 0.1090 0.2181
Pa 0.0000 0.5000 0.0000
Rh 0.6791 0.4769 0.3581
Rh 0.6791 0.8812 0.3581
Rh 0.3209 0.5231 0.6419
Rh 0.3209 0.1188 0.6419

Calculated values
* V: 184.4 Å³/cell
* M_tot: 0.000 μB per atom
* space group: No. 71
* VASP energy: -8.340 eV/atom

=====

Density functional theory data (PBE-GGA) for crystalline Ce3In4Au2 at its relaxed geometry.

Unit cell a=4.2112 b=8.0027 c=8.0027 alpha=120.00 beta=90.00 gamma=90.00
Atoms (fractional coordinates):
In 0.5000 0.0000 0.0000
In 0.0000 0.0000 0.7337
In 0.0000 0.2663 0.2663
In 0.0000 0.7337 0.0000
Ce 0.5000 0.5953 0.5953
Ce 0.5000 0.4047 0.0000
Ce 0.5000 0.0000 0.4047
Au 0.0000 0.6667 0.3333
Au 0.0000 0.3333 0.6667

Calculated values
* V: 233.6 Å³/cell
* M_tot: 0.371 μB per atom
* space group: No. 189
* VASP energy: -4.411 eV/atom

=====

Q: Which value of M_tot does entry 3 give?
A: 0.371 μB per atom